Entry 1:
Density functional theory data (PBE) for crystalline Sr2CoBi2 at its relaxed geometry.

Magnetic moment: 1.04 μB/f.u.
Calculated density: 7113 kg/m3
E_form: -110.3 kJ/mol of formula units

a = 7.6909 Å, b = 7.6909 Å, c = 5.1480 Å
α = 90.00°, β = 90.00°, γ = 90.00°
Space group P4/mbm (No. 127)
One atom of each set of equivalent atoms:
Sr (0.1681, 0.3319, 0.0000) [4 per cell]
Co (0.0000, 0.0000, 0.5000) [2 per cell]
Bi (0.1489, 0.6489, 0.5000) [4 per cell]


Entry 2:
Density functional theory data (PBE) for crystalline SrCoBi2 at its relaxed geometry.

Magnetic moment: 1.52 μB/f.u.
Calculated density: 6814 kg/m3
E_form: 34.7 kJ/mol of formula units

a = 5.7018 Å, b = 5.7018 Å, c = 16.9266 Å
α = 90.00°, β = 90.00°, γ = 90.00°
Space group I-42d (No. 122)
One atom of each set of equivalent atoms:
Sr (0.0000, 0.0000, 0.0000) [4 per cell]
Co (0.0000, 0.0000, 0.5000) [4 per cell]
Bi (0.1150, 0.2500, 0.6250) [8 per cell]


Entry 3:
Density functional theory data (PBE) for crystalline SrCoBi2 at its relaxed geometry.

Magnetic moment: 1.39 μB/f.u.
Calculated density: 8758 kg/m3
E_form: 57.8 kJ/mol of formula units

a = 7.5369 Å, b = 7.5369 Å, c = 7.5369 Å
α = 90.00°, β = 90.00°, γ = 90.00°
Space group Fm-3m (No. 225)
One atom of each set of equivalent atoms:
Sr (0.0000, 0.0000, 0.0000) [4 per cell]
Co (0.0000, 0.0000, 0.5000) [4 per cell]
Bi (0.2500, 0.2500, 0.2500) [8 per cell]


Entry 4:
Density functional theory data (PBE) for crystalline Sr2CoBi at its relaxed geometry.

Magnetic moment: 0.00 μB/f.u.
Calculated density: 4772 kg/m3
E_form: -15.2 kJ/mol of formula units

a = 11.1939 Å, b = 11.1939 Å, c = 4.9229 Å
α = 90.00°, β = 90.00°, γ = 90.00°
Space group I-42d (No. 122)
One atom of each set of equivalent atoms:
Sr (0.0726, 0.2500, 0.1250) [8 per cell]
Co (0.0000, 0.0000, 0.0000) [4 per cell]
Bi (0.0000, 0.0000, 0.5000) [4 per cell]


Entry 5:
Density functional theory data (PBE) for crystalline Sr2Co2Bi at its relaxed geometry.

Magnetic moment: 2.89 μB/f.u.
Calculated density: 6002 kg/m3
Offset from the most stable computed form: 143.1 meV per atom
E_form: 96.9 kJ/mol of formula units

a = 6.0278 Å, b = 6.0278 Å, c = 7.6465 Å
α = 90.00°, β = 90.00°, γ = 90.00°
Space group I4/mmm (No. 139)
One atom of each set of equivalent atoms:
Sr (0.0000, 0.5000, 0.2500) [4 per cell]
Co (0.0000, 0.0000, 0.1443) [4 per cell]
Bi (0.0000, 0.0000, 0.5000) [2 per cell]


Entry 6:
Density functional theory data (PBE) for crystalline Sr2Co2Bi at its relaxed geometry.

Magnetic moment: 3.04 μB/f.u.
Calculated density: 6512 kg/m3
Offset from the most stable computed form: 0.0 meV per atom
E_form: 27.8 kJ/mol of formula units

a = 7.4039 Å, b = 7.4039 Å, c = 4.6714 Å
α = 90.00°, β = 90.00°, γ = 90.00°
Space group P4/mbm (No. 127)
One atom of each set of equivalent atoms:
Sr (0.1814, 0.3186, 0.0000) [4 per cell]
Co (0.1042, 0.6042, 0.5000) [4 per cell]
Bi (0.0000, 0.0000, 0.5000) [2 per cell]


Entry 7:
Density functional theory data (PBE) for crystalline SrCoTc2Bi at its relaxed geometry.

Magnetic moment: 0.03 μB/f.u.
Calculated density: 7139 kg/m3
E_form: 1409.5 kJ/mol of formula units

a = 4.7337 Å, b = 4.7337 Å, c = 5.7249 Å
α = 90.00°, β = 90.00°, γ = 90.00°
Space group P4/mmm (No. 123)
One atom of each set of equivalent atoms:
Sr (0.0000, 0.0000, 0.0000) [1 per cell]
Co (0.5000, 0.5000, 0.5000) [1 per cell]
Tc (0.0000, 0.5000, 0.0000) [2 per cell]
Bi (0.0000, 0.0000, 0.5000) [1 per cell]


Entry 8:
Density functional theory data (PBE) for crystalline Ta2CoBi at its relaxed geometry.

Magnetic moment: 0.86 μB/f.u.
Calculated density: 13491 kg/m3
E_form: 294.0 kJ/mol of formula units

a = 3.9135 Å, b = 3.9135 Å, c = 20.2473 Å
α = 90.00°, β = 90.00°, γ = 90.00°
Space group I-42d (No. 122)
One atom of each set of equivalent atoms:
Ta (0.2451, 0.2500, 0.1250) [8 per cell]
Co (0.0000, 0.0000, 0.0000) [4 per cell]
Bi (0.0000, 0.0000, 0.5000) [4 per cell]


Entry 9:
Density functional theory data (PBE) for crystalline TaCoBi3 at its relaxed geometry.

Magnetic moment: 2.34 μB/f.u.
Calculated density: 11104 kg/m3
Offset from the most stable computed form: 0.0 meV per atom
E_form: 501.3 kJ/mol of formula units

a = 5.0610 Å, b = 5.0610 Å, c = 5.0610 Å
α = 90.00°, β = 90.00°, γ = 90.00°
Space group Pm-3m (No. 221)
One atom of each set of equivalent atoms:
Ta (0.0000, 0.0000, 0.0000) [1 per cell]
Co (0.5000, 0.5000, 0.5000) [1 per cell]
Bi (0.0000, 0.5000, 0.5000) [3 per cell]


Entry 10:
Density functional theory data (PBE) for crystalline TaCoBi2 at its relaxed geometry.

Magnetic moment: 0.00 μB/f.u.
Calculated density: 13253 kg/m3
Offset from the most stable computed form: 0.0 meV per atom
E_form: 275.0 kJ/mol of formula units

a = 6.9083 Å, b = 6.9083 Å, c = 6.9083 Å
α = 90.00°, β = 90.00°, γ = 90.00°
Space group Fm-3m (No. 225)
One atom of each set of equivalent atoms:
Ta (0.0000, 0.0000, 0.0000) [4 per cell]
Co (0.0000, 0.0000, 0.5000) [4 per cell]
Bi (0.2500, 0.2500, 0.2500) [8 per cell]


Entry 11:
Density functional theory data (PBE) for crystalline TaCoBi3 at its relaxed geometry.

Magnetic moment: 2.14 μB/f.u.
Calculated density: 8789 kg/m3
Offset from the most stable computed form: 122.8 meV per atom
E_form: 560.6 kJ/mol of formula units

a = 5.4712 Å, b = 5.4712 Å, c = 5.4712 Å
α = 90.00°, β = 90.00°, γ = 90.00°
Space group Pm-3m (No. 221)
One atom of each set of equivalent atoms:
Ta (0.0000, 0.0000, 0.0000) [1 per cell]
Co (0.5000, 0.5000, 0.5000) [1 per cell]
Bi (0.0000, 0.0000, 0.5000) [3 per cell]


Entry 12:
Density functional theory data (PBE) for crystalline Ta2Co2Bi at its relaxed geometry.

Magnetic moment: 0.00 μB/f.u.
Calculated density: 13831 kg/m3
E_form: 64.6 kJ/mol of formula units

a = 7.2955 Å, b = 7.2955 Å, c = 3.1073 Å
α = 90.00°, β = 90.00°, γ = 90.00°
Space group P4/mbm (No. 127)
One atom of each set of equivalent atoms:
Ta (0.1540, 0.3460, 0.0000) [4 per cell]
Co (0.1260, 0.6260, 0.5000) [4 per cell]
Bi (0.0000, 0.0000, 0.5000) [2 per cell]


Entry 13:
Density functional theory data (PBE) for crystalline TaCoBi2 at its relaxed geometry.

Magnetic moment: 0.00 μB/f.u.
Calculated density: 12378 kg/m3
Offset from the most stable computed form: 184.8 meV per atom
E_form: 346.4 kJ/mol of formula units

a = 7.5611 Å, b = 7.5611 Å, c = 6.1743 Å
α = 90.00°, β = 90.00°, γ = 90.00°
Space group I-42d (No. 122)
One atom of each set of equivalent atoms:
Ta (0.0000, 0.0000, 0.0000) [4 per cell]
Co (0.0000, 0.0000, 0.5000) [4 per cell]
Bi (0.2036, 0.2500, 0.6250) [8 per cell]


Entry 14:
Density functional theory data (PBE) for crystalline TaCo2Bi at its relaxed geometry.

Magnetic moment: 0.00 μB/f.u.
Calculated density: 11612 kg/m3
E_form: 269.7 kJ/mol of formula units

a = 4.2365 Å, b = 4.2365 Å, c = 16.1834 Å
α = 90.00°, β = 90.00°, γ = 90.00°
Space group I-42d (No. 122)
One atom of each set of equivalent atoms:
Ta (0.0000, 0.0000, 0.0000) [4 per cell]
Co (0.2137, 0.2500, 0.1250) [8 per cell]
Bi (0.0000, 0.0000, 0.5000) [4 per cell]


Entry 15:
Density functional theory data (PBE) for crystalline TaTiCoBi2 at its relaxed geometry.

Magnetic moment: 1.65 μB/f.u.
Calculated density: 8288 kg/m3
E_form: 638.2 kJ/mol of formula units

a = 5.4473 Å, b = 5.4473 Å, c = 4.7648 Å
α = 90.00°, β = 90.00°, γ = 90.00°
Space group P4/mmm (No. 123)
One atom of each set of equivalent atoms:
Ta (0.0000, 0.0000, 0.0000) [1 per cell]
Ti (0.0000, 0.0000, 0.5000) [1 per cell]
Co (0.5000, 0.5000, 0.5000) [1 per cell]
Bi (0.0000, 0.5000, 0.0000) [2 per cell]


Entry 16:
Density functional theory data (PBE) for crystalline Tb5Co2Bi at its relaxed geometry.

Magnetic moment: 0.00 μB/f.u.
Calculated density: 9248 kg/m3
E_form: -265.7 kJ/mol of formula units

a = 7.6970 Å, b = 7.6970 Å, c = 13.5956 Å
α = 90.00°, β = 90.00°, γ = 90.00°
Space group I4/mcm (No. 140)
One atom of each set of equivalent atoms:
Tb (0.0000, 0.0000, 0.0000) [4 per cell]
Tb (0.1567, 0.3433, 0.1299) [16 per cell]
Co (0.1374, 0.3626, 0.5000) [8 per cell]
Bi (0.0000, 0.0000, 0.2500) [4 per cell]


Entry 17:
Density functional theory data (PBE) for crystalline Tb6CoBi3 at its relaxed geometry.

Magnetic moment: 0.01 μB/f.u.
Calculated density: 8581 kg/m3
E_form: -326.0 kJ/mol of formula units

a = 11.5702 Å, b = 14.4921 Å, c = 7.5680 Å
α = 90.00°, β = 90.00°, γ = 90.00°
Space group Cmc2_1 (No. 36)
One atom of each set of equivalent atoms:
Tb (0.0000, 0.0086, 0.0000) [4 per cell]
Tb (0.0000, 0.2420, 0.5341) [4 per cell]
Tb (0.1496, 0.2421, 0.0850) [8 per cell]
Tb (0.1638, 0.4622, 0.5663) [8 per cell]
Co (0.0000, 0.1361, 0.2540) [4 per cell]
Bi (0.0000, 0.3905, 0.8737) [4 per cell]
Bi (0.1829, 0.1111, 0.7511) [8 per cell]


Entry 18:
Density functional theory data (PBE) for crystalline Tb5CoBi2 at its relaxed geometry.

Magnetic moment: 0.00 μB/f.u.
Calculated density: 9212 kg/m3
Offset from the most stable computed form: 308.1 meV per atom
E_form: -194.9 kJ/mol of formula units

a = 5.8989 Å, b = 9.6728 Å, c = 16.0669 Å
α = 90.00°, β = 90.00°, γ = 90.00°
Space group Cmcm (No. 63)
One atom of each set of equivalent atoms:
Tb (0.0000, 0.0683, 0.1088) [8 per cell]
Tb (0.0000, 0.2612, 0.7500) [4 per cell]
Tb (0.0000, 0.3996, 0.1393) [8 per cell]
Co (0.0000, 0.1958, 0.2500) [4 per cell]
Bi (0.0000, 0.2705, 0.5567) [8 per cell]


Entry 19:
Density functional theory data (PBE) for crystalline Tb5CoBi4 at its relaxed geometry.

Magnetic moment: 0.00 μB/f.u.
Calculated density: 9311 kg/m3
E_form: -549.9 kJ/mol of formula units

a = 9.7710 Å, b = 9.7710 Å, c = 6.3119 Å
α = 90.00°, β = 90.00°, γ = 90.00°
Space group I4 (No. 79)
One atom of each set of equivalent atoms:
Tb (0.0000, 0.0000, 0.0000) [2 per cell]
Tb (0.0946, 0.2782, 0.3652) [8 per cell]
Co (0.0000, 0.0000, 0.4202) [2 per cell]
Bi (0.0895, 0.2976, 0.8630) [8 per cell]


Entry 20:
Density functional theory data (PBE) for crystalline Tb4CoBi at its relaxed geometry.

Magnetic moment: 0.00 μB/f.u.
Calculated density: 9269 kg/m3
Offset from the most stable computed form: 0.0 meV per atom
E_form: -213.9 kJ/mol of formula units

a = 8.4729 Å, b = 3.8468 Å, c = 19.8667 Å
α = 90.00°, β = 90.00°, γ = 90.00°
Space group Pnma (No. 62)
One atom of each set of equivalent atoms:
Tb (0.0383, 0.2500, 0.0669) [4 per cell]
Tb (0.0588, 0.7500, 0.2144) [4 per cell]
Tb (0.1238, 0.7500, 0.6457) [4 per cell]
Tb (0.1465, 0.7500, 0.4551) [4 per cell]
Co (0.2167, 0.2500, 0.5549) [4 per cell]
Bi (0.2432, 0.7500, 0.8160) [4 per cell]


Entry 21:
Density functional theory data (PBE) for crystalline Tb5CoBi2 at its relaxed geometry.

Magnetic moment: 0.00 μB/f.u.
Calculated density: 9446 kg/m3
Offset from the most stable computed form: 0.0 meV per atom
E_form: -432.7 kJ/mol of formula units

a = 12.4757 Å, b = 8.8748 Å, c = 8.0752 Å
α = 90.00°, β = 90.00°, γ = 90.00°
Space group Pnma (No. 62)
One atom of each set of equivalent atoms:
Tb (0.0021, 0.2500, 0.0477) [4 per cell]
Tb (0.0625, 0.5369, 0.3234) [8 per cell]
Tb (0.1898, 0.2500, 0.6156) [4 per cell]
Tb (0.1980, 0.7500, 0.6509) [4 per cell]
Co (0.0090, 0.2500, 0.4342) [4 per cell]
Bi (0.1741, 0.0092, 0.9270) [8 per cell]


Entry 22:
Density functional theory data (PBE) for crystalline Tb3CoBi at its relaxed geometry.

Magnetic moment: 0.00 μB/f.u.
Calculated density: 8865 kg/m3
Offset from the most stable computed form: 85.0 meV per atom
E_form: -172.4 kJ/mol of formula units

a = 5.1861 Å, b = 5.1861 Å, c = 5.1861 Å
α = 90.00°, β = 90.00°, γ = 90.00°
Space group Pm-3m (No. 221)
One atom of each set of equivalent atoms:
Tb (0.0000, 0.0000, 0.5000) [3 per cell]
Co (0.0000, 0.0000, 0.0000) [1 per cell]
Bi (0.5000, 0.5000, 0.5000) [1 per cell]